[1]
First-principles (PBE) data for a relaxed structure of Tl2In2Sn5, as listed in Alexandria via LeMat-Bulk.

Cell lengths 3.469, 13.791, 6.167 Å; angles 67.53, 109.49, 92.99 degrees
Fractional coordinates of all 9 atoms:
Tl: 0.555 0.774 0.122
Tl: 0.445 0.226 0.878
In: 0.643 0.334 0.315
In: 0.357 0.666 0.685
Sn: 0.893 0.454 0.764
Sn: 0.107 0.546 0.236
Sn: 0.766 0.893 0.552
Sn: 0.234 0.107 0.448
Sn: 0.000 0.000 0.000

For the calculated formation energy, the calculation gives 36 meV per atom. As for the symmetry: P-1, No. 2. As for the density of states at the Fermi level: 3.40 states/eV/f.u. As for the total energy: -3.322 eV per atom.

[2]
First-principles (PBE) data for a relaxed structure of Tl2In3Sn2, as listed in Alexandria via LeMat-Bulk.

Cell lengths 3.819, 6.451, 9.760 Å; angles 119.68, 80.45, 104.40 degrees
Fractional coordinates of all 7 atoms:
Tl: 0.138 0.850 0.583
Tl: 0.862 0.150 0.417
In: 0.000 0.000 0.000
In: 0.598 0.453 0.269
In: 0.402 0.547 0.731
Sn: 0.710 0.288 0.877
Sn: 0.290 0.712 0.123

For the calculated formation energy, the calculation gives 23 meV per atom. Its distance to the lowest polymorph of the same formula is 0 meV per atom. As for the symmetry: P-1, No. 2. As for the density of states at the Fermi level: 2.52 states/eV/f.u. As for the total energy: -2.970 eV per atom.

[3]
First-principles (PBE) data for a relaxed structure of TlInSn2, as listed in Alexandria via LeMat-Bulk.

Cell lengths 3.152, 3.189, 11.508 Å; angles 90.00, 90.00, 90.00 degrees
Fractional coordinates of all 4 atoms:
Tl: 0.500 0.487 0.000
In: 0.000 0.489 0.500
Sn: 0.000 0.989 0.749
Sn: 0.000 0.989 0.251

For the calculated formation energy, the calculation gives 55 meV per atom. Its distance to the lowest polymorph of the same formula is 19 meV per atom. As for the symmetry: Pmm2, No. 25. As for the density of states at the Fermi level: 2.13 states/eV/f.u. As for the total energy: -3.223 eV per atom.

[4]
First-principles (PBE) data for a relaxed structure of TlIn2Sn, as listed in Alexandria via LeMat-Bulk.

Cell lengths 3.327, 3.327, 10.424 Å; angles 90.00, 90.00, 98.21 degrees
Fractional coordinates of all 4 atoms:
Tl: 0.500 0.500 0.000
In: 0.000 0.000 0.262
In: 0.000 0.000 0.738
Sn: 0.500 0.500 0.500

For the calculated formation energy, the calculation gives 23 meV per atom. Its distance to the lowest polymorph of the same formula is 0 meV per atom. As for the symmetry: Cmmm, No. 65. As for the density of states at the Fermi level: 1.45 states/eV/f.u. As for the total energy: -2.938 eV per atom.

[5]
First-principles (PBE) data for a relaxed structure of Tl12In2Sn, as listed in Alexandria via LeMat-Bulk.

Cell lengths 6.739, 6.739, 22.152 Å; angles 90.00, 90.00, 90.00 degrees
Fractional coordinates of all 30 atoms:
Tl: 0.500 0.500 0.802
Tl: 0.000 0.000 0.802
Tl: 0.750 0.750 0.906
Tl: 0.250 0.750 0.906
Tl: 0.000 0.000 0.337
Tl: 0.250 0.750 0.094
Tl: 0.827 0.327 0.565
Tl: 0.500 0.500 0.337
Tl: 0.250 0.250 0.906
Tl: 0.750 0.750 0.094
Tl: 0.327 0.173 0.565
Tl: 0.673 0.173 0.435
Tl: 0.000 0.000 0.663
Tl: 0.173 0.327 0.435
Tl: 0.250 0.250 0.094
Tl: 0.827 0.673 0.435
Tl: 0.673 0.827 0.565
Tl: 0.000 0.000 0.198
Tl: 0.173 0.673 0.565
Tl: 0.500 0.500 0.663
Tl: 0.750 0.250 0.906
Tl: 0.500 0.500 0.198
Tl: 0.327 0.827 0.435
Tl: 0.750 0.250 0.094
In: 0.500 0.000 0.285
In: 0.000 0.500 0.285
In: 0.000 0.500 0.715
In: 0.500 0.000 0.715
Sn: 0.500 0.000 0.000
Sn: 0.000 0.500 0.000

For the calculated formation energy, the calculation gives 128 meV per atom. As for the symmetry: P4/nbm, No. 125. As for the density of states at the Fermi level: 7.53 states/eV/f.u. As for the total energy: -2.397 eV per atom.

[6]
First-principles (PBE) data for a relaxed structure of Tl3InSn3, as listed in Alexandria via LeMat-Bulk.

Cell lengths 8.282, 8.282, 8.282 Å; angles 90.00, 90.00, 90.00 degrees
Fractional coordinates of all 14 atoms:
Tl: 0.250 0.000 0.500
Tl: 0.000 0.500 0.250
Tl: 0.500 0.750 0.000
Tl: 0.750 0.000 0.500
Tl: 0.000 0.500 0.750
Tl: 0.500 0.250 0.000
Sn: 0.000 0.250 0.500
Sn: 0.000 0.750 0.500
Sn: 0.500 0.000 0.750
Sn: 0.750 0.500 0.000
Sn: 0.500 0.000 0.250
Sn: 0.250 0.500 0.000
In: 0.500 0.500 0.500
In: 0.000 0.000 0.000

For the calculated formation energy, the calculation gives 407 meV per atom. Its distance to the lowest polymorph of the same formula is 381 meV per atom. As for the symmetry: Pm-3n, No. 223. As for the density of states at the Fermi level: 5.51 states/eV/f.u. As for the total energy: -2.714 eV per atom.

[7]
First-principles (PBE) data for a relaxed structure of TlInSn2, as listed in Alexandria via LeMat-Bulk.

Cell lengths 4.528, 4.528, 11.857 Å; angles 78.99, 78.99, 90.00 degrees
Fractional coordinates of all 8 atoms:
Tl: 0.000 0.000 0.000
Tl: 0.750 0.250 0.500
Sn: 0.621 0.125 0.250
Sn: 0.129 0.625 0.250
Sn: 0.375 0.379 0.750
Sn: 0.875 0.871 0.750
In: 0.500 0.500 0.000
In: 0.250 0.750 0.500

For the calculated formation energy, the calculation gives 92 meV per atom. Its distance to the lowest polymorph of the same formula is 57 meV per atom. As for the symmetry: I-42d, No. 122. As for the density of states at the Fermi level: 2.31 states/eV/f.u. As for the total energy: -3.185 eV per atom.

[8]
First-principles (PBE) data for a relaxed structure of Tl2In3Sn3, as listed in Alexandria via LeMat-Bulk.

Cell lengths 4.947, 4.961, 9.215 Å; angles 90.00, 90.00, 90.00 degrees
Fractional coordinates of all 8 atoms:
Tl: 0.000 0.000 0.249
Tl: 0.000 0.000 0.751
In: 0.000 0.500 0.500
In: 0.500 0.000 0.000
In: 0.500 0.000 0.500
Sn: 0.500 0.500 0.248
Sn: 0.500 0.500 0.752
Sn: 0.000 0.500 0.000

For the calculated formation energy, the calculation gives 35 meV per atom. As for the symmetry: Pmmm, No. 47. As for the density of states at the Fermi level: 2.83 states/eV/f.u. As for the total energy: -3.084 eV per atom.

[9]
First-principles (PBE) data for a relaxed structure of Tl3In3Sn2, as listed in Alexandria via LeMat-Bulk.

Cell lengths 6.096, 9.579, 16.690 Å; angles 90.00, 90.00, 90.00 degrees
Fractional coordinates of all 32 atoms:
Tl: 0.115 0.462 0.393
Tl: 0.615 0.038 0.607
Tl: 0.885 0.538 0.893
Tl: 0.385 0.962 0.107
Tl: 0.885 0.538 0.607
Tl: 0.385 0.962 0.393
Tl: 0.115 0.462 0.107
Tl: 0.615 0.038 0.893
Tl: 0.664 0.338 0.250
Tl: 0.164 0.162 0.750
Tl: 0.336 0.662 0.750
Tl: 0.836 0.838 0.250
In: 0.194 0.204 0.250
In: 0.694 0.296 0.750
In: 0.806 0.796 0.750
In: 0.306 0.704 0.250
In: 0.593 0.310 0.465
In: 0.093 0.190 0.535
In: 0.407 0.690 0.965
In: 0.907 0.810 0.035
In: 0.407 0.690 0.535
In: 0.907 0.810 0.465
In: 0.593 0.310 0.035
In: 0.093 0.190 0.965
Sn: 0.876 0.099 0.379
Sn: 0.376 0.401 0.621
Sn: 0.124 0.901 0.879
Sn: 0.624 0.599 0.121
Sn: 0.124 0.901 0.621
Sn: 0.624 0.599 0.379
Sn: 0.876 0.099 0.121
Sn: 0.376 0.401 0.879

For the calculated formation energy, the calculation gives 58 meV per atom. As for the symmetry: Pnma, No. 62. As for the density of states at the Fermi level: 2.84 states/eV/f.u. As for the total energy: -2.857 eV per atom.

[10]
First-principles (PBE) data for a relaxed structure of TlInSn2, as listed in Alexandria via LeMat-Bulk.

Cell lengths 5.420, 5.420, 5.420 Å; angles 60.00, 60.00, 60.00 degrees
Fractional coordinates of all 4 atoms:
Tl: 0.500 0.500 0.500
Sn: 0.250 0.250 0.250
Sn: 0.750 0.750 0.750
In: 0.000 0.000 0.000

For the calculated formation energy, the calculation gives 67 meV per atom. Its distance to the lowest polymorph of the same formula is 32 meV per atom. As for the symmetry: Fm-3m, No. 225. As for the density of states at the Fermi level: 2.05 states/eV/f.u. As for the total energy: -3.210 eV per atom.

[11]
First-principles (PBE) data for a relaxed structure of Tl12In2Sn5, as listed in Alexandria via LeMat-Bulk.

Cell lengths 12.492, 12.492, 5.074 Å; angles 79.00, 79.00, 48.26 degrees
Fractional coordinates of all 19 atoms:
Tl: 0.103 0.103 0.895
Tl: 0.458 0.938 0.802
Tl: 0.938 0.458 0.802
Tl: 0.357 0.835 0.404
Tl: 0.835 0.357 0.404
Tl: 0.584 0.584 0.913
Tl: 0.416 0.416 0.087
Tl: 0.643 0.165 0.596
Tl: 0.165 0.643 0.596
Tl: 0.542 0.062 0.198
Tl: 0.062 0.542 0.198
Tl: 0.897 0.897 0.105
In: 0.770 0.230 0.000
In: 0.230 0.770 0.000
Sn: 0.800 0.800 0.701
Sn: 0.707 0.707 0.288
Sn: 0.000 0.000 0.500
Sn: 0.293 0.293 0.712
Sn: 0.200 0.200 0.299

For the calculated formation energy, the calculation gives 42 meV per atom. As for the symmetry: C2/m, No. 12. As for the density of states at the Fermi level: 6.77 states/eV/f.u. As for the total energy: -2.794 eV per atom.

[12]
First-principles (PBE) data for a relaxed structure of Tl4In4Sn5, as listed in Alexandria via LeMat-Bulk.

Cell lengths 4.826, 9.121, 9.121 Å; angles 85.99, 74.66, 74.66 degrees
Fractional coordinates of all 13 atoms:
Tl: 0.770 0.385 0.076
Tl: 0.230 0.615 0.924
Tl: 0.846 0.924 0.385
Tl: 0.154 0.076 0.615
In: 0.926 0.460 0.688
In: 0.614 0.312 0.460
In: 0.074 0.540 0.312
In: 0.386 0.688 0.540
Sn: 0.686 0.847 0.780
Sn: 0.314 0.153 0.220
Sn: 0.000 0.000 0.000
Sn: 0.533 0.780 0.153
Sn: 0.467 0.220 0.847

For the calculated formation energy, the calculation gives 36 meV per atom. As for the symmetry: I4/m, No. 87. As for the density of states at the Fermi level: 5.44 states/eV/f.u. As for the total energy: -3.074 eV per atom.